(1)
Computed, not measured: a geometry-optimized SrNb2Sb2 structure at the GGA-PBE level of DFT.

Results
The calculation puts the theoretical density at 6.62 g/cm3. As for the relative energy among the computed polymorphs: 0.000 eV/f.u. As for the uncorrected formation energy: -0.415 eV/atom. Its density of states at the Fermi level is 0.4776 states/eV per atom. As for the symmetry: I4/mmm (139).

Structure (CIF):
```
data_SrNb2Sb2
_chemical_formula_sum 'Sr1 Nb2 Sb2'
_symmetry_space_group_name_H-M 'P 1'
_symmetry_Int_Tables_number 1
_cell_length_a 4.1957
_cell_length_b 4.1957
_cell_length_c 7.9388
_cell_angle_alpha 74.68
_cell_angle_beta 74.68
_cell_angle_gamma 90.00
loop_
_symmetry_equiv_pos_as_xyz
'x,y,z'
loop_
_atom_site_label
_atom_site_type_symbol
_atom_site_fract_x
_atom_site_fract_y
_atom_site_fract_z
Sb1 Sb 0.3804 0.3804 0.2393
Sb2 Sb 0.6196 0.6196 0.7607
Nb1 Nb 0.7500 0.2500 0.5000
Nb2 Nb 0.2500 0.7500 0.5000
Sr1 Sr 0.0000 0.0000 0.0000
```


(2)
Computed, not measured: a geometry-optimized Sr3NbSb structure at the GGA-PBE level of DFT.

Results
The calculation puts the theoretical density at 4.20 g/cm3. As for the relative energy among the computed polymorphs: 1.162 eV/f.u. As for the uncorrected formation energy: 0.698 eV/atom. Its density of states at the Fermi level is 1.3417 states/eV per atom. As for the symmetry: Pm-3m (221).

Structure (CIF):
```
data_Sr3NbSb
_chemical_formula_sum 'Sr3 Nb1 Sb1'
_symmetry_space_group_name_H-M 'P 1'
_symmetry_Int_Tables_number 1
_cell_length_a 5.7350
_cell_length_b 5.7350
_cell_length_c 5.7350
_cell_angle_alpha 90.00
_cell_angle_beta 90.00
_cell_angle_gamma 90.00
loop_
_symmetry_equiv_pos_as_xyz
'x,y,z'
loop_
_atom_site_label
_atom_site_type_symbol
_atom_site_fract_x
_atom_site_fract_y
_atom_site_fract_z
Sb1 Sb 0.5000 0.5000 0.5000
Nb1 Nb 0.0000 0.0000 0.0000
Sr1 Sr 0.0000 0.5000 0.0000
Sr2 Sr 0.0000 0.0000 0.5000
Sr3 Sr 0.5000 0.0000 0.0000
```


(3)
Computed, not measured: a geometry-optimized Sr3NbSb structure at the GGA-PBE level of DFT.

Results
The calculation puts the theoretical density at 3.30 g/cm3. As for the relative energy among the computed polymorphs: 0.000 eV/f.u. As for the uncorrected formation energy: 0.465 eV/atom. Its density of states at the Fermi level is 0.3848 states/eV per atom. As for the symmetry: Pm-3m (221).

Structure (CIF):
```
data_Sr3NbSb
_chemical_formula_sum 'Sr3 Nb1 Sb1'
_symmetry_space_group_name_H-M 'P 1'
_symmetry_Int_Tables_number 1
_cell_length_a 6.2198
_cell_length_b 6.2198
_cell_length_c 6.2198
_cell_angle_alpha 90.00
_cell_angle_beta 90.00
_cell_angle_gamma 90.00
loop_
_symmetry_equiv_pos_as_xyz
'x,y,z'
loop_
_atom_site_label
_atom_site_type_symbol
_atom_site_fract_x
_atom_site_fract_y
_atom_site_fract_z
Sb1 Sb 0.0000 0.0000 0.0000
Nb1 Nb 0.5000 0.5000 0.5000
Sr1 Sr 0.0000 0.5000 0.0000
Sr2 Sr 0.0000 0.0000 0.5000
Sr3 Sr 0.5000 0.0000 0.0000
```